Entry 1:
# ErAl2Zn3, optimized geometry, DFT PBE
# ΔH_f (0 K) ... -0.225 eV per atom
# SG ... No. 164
# D(E_F) ... 2.33 states/eV per cell
# Crystal system ... trigonal
data_ErAl2Zn3
_chemical_formula_sum 'Er1 Al2 Zn3'
_symmetry_space_group_name_H-M 'P 1'
_symmetry_Int_Tables_number 1
_cell_length_a 4.3664
_cell_length_b 4.3664
_cell_length_c 6.5080
_cell_angle_alpha 90.00
_cell_angle_beta 90.00
_cell_angle_gamma 120.00
loop_
_symmetry_equiv_pos_as_xyz
'x,y,z'
loop_
_atom_site_label
_atom_site_type_symbol
_atom_site_fract_x
_atom_site_fract_y
_atom_site_fract_z
Er1 Er 0.0000 0.0000 0.0000
Al1 Al 0.3333 0.6667 0.7109
Al2 Al 0.6667 0.3333 0.2891
Zn1 Zn 0.0000 0.0000 0.5000
Zn2 Zn 0.3333 0.6667 0.2568
Zn3 Zn 0.6667 0.3333 0.7432

---

Entry 2:
# Na3PaMn2Te6, optimized geometry, DFT PBE
# SG ... No. 12
# D(E_F) ... 0.66 states/eV per cell
# Formation energy from raw total energies ... -759 kJ/mol of formula units
# Crystal system ... monoclinic
data_Na3PaMn2Te6
_chemical_formula_sum 'Na3 Pa1 Mn2 Te6'
_symmetry_space_group_name_H-M 'P 1'
_symmetry_Int_Tables_number 1
_cell_length_a 7.3666
_cell_length_b 7.3666
_cell_length_c 7.9416
_cell_angle_alpha 98.92
_cell_angle_beta 98.92
_cell_angle_gamma 119.93
loop_
_symmetry_equiv_pos_as_xyz
'x,y,z'
loop_
_atom_site_label
_atom_site_type_symbol
_atom_site_fract_x
_atom_site_fract_y
_atom_site_fract_z
Na1 Na 0.0000 0.0000 0.0000
Na2 Na 0.3379 0.6621 0.0000
Na3 Na 0.6621 0.3379 0.0000
Pa1 Pa 0.5000 0.5000 0.5000
Mn1 Mn 0.1675 0.8325 0.5000
Mn2 Mn 0.8325 0.1675 0.5000
Te1 Te 0.0833 0.4269 0.2796
Te2 Te 0.2287 0.2287 0.7184
Te3 Te 0.4269 0.0833 0.2796
Te4 Te 0.5731 0.9167 0.7204
Te5 Te 0.7713 0.7713 0.2816
Te6 Te 0.9167 0.5731 0.7204

---

Entry 3:
# LaNd2Ge, optimized geometry, DFT PBE
# ΔH_f (0 K) ... -0.448 eV per atom
# SG ... No. 62
# D(E_F) ... 20.05 states/eV per cell
# Crystal system ... orthorhombic
data_LaNd2Ge
_chemical_formula_sum 'La4 Nd8 Ge4'
_symmetry_space_group_name_H-M 'P 1'
_symmetry_Int_Tables_number 1
_cell_length_a 7.9843
_cell_length_b 9.5436
_cell_length_c 6.5379
_cell_angle_alpha 90.00
_cell_angle_beta 90.00
_cell_angle_gamma 90.00
loop_
_symmetry_equiv_pos_as_xyz
'x,y,z'
loop_
_atom_site_label
_atom_site_type_symbol
_atom_site_fract_x
_atom_site_fract_y
_atom_site_fract_z
La1 La 0.0306 0.2500 0.1319
La2 La 0.4694 0.7500 0.6319
La3 La 0.5306 0.2500 0.3681
La4 La 0.9694 0.7500 0.8681
Nd1 Nd 0.1904 0.0520 0.6235
Nd2 Nd 0.1904 0.4480 0.6235
Nd3 Nd 0.3096 0.5520 0.1235
Nd4 Nd 0.3096 0.9480 0.1235
Nd5 Nd 0.6904 0.0520 0.8765
Nd6 Nd 0.6904 0.4480 0.8765
Nd7 Nd 0.8096 0.5520 0.3765
Nd8 Nd 0.8096 0.9480 0.3765
Ge1 Ge 0.1155 0.7500 0.4146
Ge2 Ge 0.3845 0.2500 0.9146
Ge3 Ge 0.6155 0.7500 0.0854
Ge4 Ge 0.8845 0.2500 0.5854

---

Entry 4:
# ScFeTe2N, optimized geometry, DFT PBE
# SG ... No. 123
# D(E_F) ... 2.90 states/eV per cell
# Formation energy from raw total energies ... -75 kJ/mol of formula units
# Crystal system ... tetragonal
data_ScFeTe2N
_chemical_formula_sum 'Sc1 Fe1 Te2 N1'
_symmetry_space_group_name_H-M 'P 1'
_symmetry_Int_Tables_number 1
_cell_length_a 5.3012
_cell_length_b 5.3012
_cell_length_c 3.4719
_cell_angle_alpha 90.00
_cell_angle_beta 90.00
_cell_angle_gamma 90.00
loop_
_symmetry_equiv_pos_as_xyz
'x,y,z'
loop_
_atom_site_label
_atom_site_type_symbol
_atom_site_fract_x
_atom_site_fract_y
_atom_site_fract_z
Sc1 Sc 0.0000 0.0000 0.0000
Fe1 Fe 0.5000 0.5000 0.5000
Te1 Te 0.0000 0.5000 0.5000
Te2 Te 0.5000 0.0000 0.5000
N1 N 0.5000 0.5000 0.0000

---

Entry 5:
# LaBPO2, optimized geometry, DFT PBE
# SG ... No. 123
# D(E_F) ... 4.14 states/eV per cell
# Formation energy from raw total energies ... 72 kJ/mol of formula units
# Crystal system ... tetragonal
data_LaBPO2
_chemical_formula_sum 'La1 B1 P1 O2'
_symmetry_space_group_name_H-M 'P 1'
_symmetry_Int_Tables_number 1
_cell_length_a 4.1362
_cell_length_b 4.1362
_cell_length_c 6.6231
_cell_angle_alpha 90.00
_cell_angle_beta 90.00
_cell_angle_gamma 90.00
loop_
_symmetry_equiv_pos_as_xyz
'x,y,z'
loop_
_atom_site_label
_atom_site_type_symbol
_atom_site_fract_x
_atom_site_fract_y
_atom_site_fract_z
La1 La 0.0000 0.0000 0.0000
B1 B 0.5000 0.5000 0.5000
P1 P 0.0000 0.0000 0.5000
O1 O 0.0000 0.5000 0.0000
O2 O 0.5000 0.0000 0.0000

---

Entry 6:
# Mn2Ga3Pt4, optimized geometry, DFT PBE
# ΔH_f (0 K) ... -0.417 eV per atom
# SG ... No. 64
# D(E_F) ... 7.48 states/eV per cell
# Crystal system ... orthorhombic
data_Mn2Ga3Pt4
_chemical_formula_sum 'Mn4 Ga6 Pt8'
_symmetry_space_group_name_H-M 'P 1'
_symmetry_Int_Tables_number 1
_cell_length_a 7.9192
_cell_length_b 7.9192
_cell_length_c 7.2615
_cell_angle_alpha 90.00
_cell_angle_beta 90.00
_cell_angle_gamma 139.39
loop_
_symmetry_equiv_pos_as_xyz
'x,y,z'
loop_
_atom_site_label
_atom_site_type_symbol
_atom_site_fract_x
_atom_site_fract_y
_atom_site_fract_z
Mn1 Mn 0.0916 0.9084 0.8961
Mn2 Mn 0.4084 0.5916 0.3961
Mn3 Mn 0.5916 0.4084 0.6039
Mn4 Mn 0.9084 0.0916 0.1039
Ga1 Ga 0.0000 0.0000 0.5000
Ga2 Ga 0.0128 0.4872 0.7500
Ga3 Ga 0.4872 0.0128 0.2500
Ga4 Ga 0.5000 0.5000 0.0000
Ga5 Ga 0.5128 0.9872 0.7500
Ga6 Ga 0.9872 0.5128 0.2500
Pt1 Pt 0.1720 0.8280 0.5316
Pt2 Pt 0.1866 0.3134 0.7500
Pt3 Pt 0.3134 0.1866 0.2500
Pt4 Pt 0.3280 0.6720 0.0316
Pt5 Pt 0.6720 0.3280 0.9684
Pt6 Pt 0.6866 0.8134 0.7500
Pt7 Pt 0.8134 0.6866 0.2500
Pt8 Pt 0.8280 0.1720 0.4684

---

Entry 7:
# Tb6Y2HoSc3, optimized geometry, DFT PBE
# ΔH_f (0 K) ... 0.045 eV per atom
# SG ... No. 12
# D(E_F) ... 17.37 states/eV per cell
# Crystal system ... monoclinic
data_Tb6Y2HoSc3
_chemical_formula_sum 'Tb6 Y2 Ho1 Sc3'
_symmetry_space_group_name_H-M 'P 1'
_symmetry_Int_Tables_number 1
_cell_length_a 6.0582
_cell_length_b 6.0582
_cell_length_c 11.4616
_cell_angle_alpha 95.05
_cell_angle_beta 95.05
_cell_angle_gamma 119.96
loop_
_symmetry_equiv_pos_as_xyz
'x,y,z'
loop_
_atom_site_label
_atom_site_type_symbol
_atom_site_fract_x
_atom_site_fract_y
_atom_site_fract_z
Tb1 Tb 0.0866 0.4192 0.7596
Tb2 Tb 0.2460 0.2460 0.2403
Tb3 Tb 0.4192 0.0866 0.7596
Tb4 Tb 0.5808 0.9134 0.2404
Tb5 Tb 0.7540 0.7540 0.7597
Tb6 Tb 0.9134 0.5808 0.2404
Y1 Y 0.3333 0.6667 0.5000
Y2 Y 0.6667 0.3333 0.5000
Ho1 Ho 0.0000 0.0000 0.5000
Sc1 Sc 0.1668 0.8332 0.0000
Sc2 Sc 0.5000 0.5000 0.0000
Sc3 Sc 0.8332 0.1668 0.0000

---

Entry 8:
# Pm4Te, optimized geometry, DFT PBE
# SG ... No. 221
# D(E_F) ... 9.39 states/eV per cell
# Formation energy from raw total energies ... -60 kJ/mol of formula units
# Crystal system ... cubic
data_Pm4Te
_chemical_formula_sum 'Pm4 Te1'
_symmetry_space_group_name_H-M 'P 1'
_symmetry_Int_Tables_number 1
_cell_length_a 5.8601
_cell_length_b 5.8601
_cell_length_c 5.8601
_cell_angle_alpha 90.00
_cell_angle_beta 90.00
_cell_angle_gamma 90.00
loop_
_symmetry_equiv_pos_as_xyz
'x,y,z'
loop_
_atom_site_label
_atom_site_type_symbol
_atom_site_fract_x
_atom_site_fract_y
_atom_site_fract_z
Pm1 Pm 0.0000 0.0000 0.0000
Pm2 Pm 0.0000 0.5000 0.5000
Pm3 Pm 0.5000 0.0000 0.5000
Pm4 Pm 0.5000 0.5000 0.0000
Te1 Te 0.5000 0.5000 0.5000